Density functional theory data (PBE with a Hubbard U) for crystalline MnAsO2 at its relaxed geometry.

The space group is R-3m (No. 166, hexagonal axes) and the conventional cell measures 3.0598, 3.0598 and 18.5989 Å, with angles of 90.00, 90.00 and 120.00 degrees. The distinct sites, in fractional coordinates, are Mn at (0.0000, 0.0000, 0.0000), As at (0.0000, 0.0000, 0.5000) and O at (0.0000, 0.0000, 0.3943).

Its total energy is -79.2 eV/cell. The size of the total moment comes out at 13.5 Bohr magnetons per cell.